Entry 1:
The following is a GGA-PBE calculation of an optimized crystal structure of Nd6YTm2, from the Alexandria database.

## Properties
mass density	7.10	g cm⁻³
SG	No. 15
formation energy from the elements	0.054	eV/atom

```
18
Lattice="-0.6393 5.3472 1.9744 3.9778 -6.1509 9.6183 11.1482 -3.0515 3.5461" Properties=species:S:1:pos:R:3 pbc="T T T"
Nd 2.8223 -0.7099 7.0084
Nd 5.5824 -3.1835 6.2944
Nd 6.7340 -1.8308 2.9793
Nd 1.6734 1.2751 1.2726
Nd 11.6643 -3.1454 8.1304
Nd 8.9042 -0.6717 8.8445
Nd 14.3376 -7.2832 11.8589
Nd 12.8132 -5.1304 13.8662
Nd 6.4434 0.0004 6.2817
Nd 8.0432 -3.8556 8.8571
Nd 7.7526 -2.0244 12.1595
Nd 0.1490 3.4280 3.2800
Tm 10.4244 -4.4797 11.3645
Tm 4.0622 0.6244 3.7743
Tm 2.5494 2.7823 5.7719
Tm 11.9372 -6.6375 9.3669
Y 9.2005 -2.4875 5.5538
Y 5.2861 -1.3677 9.5851
```

Entry 2:
The following is a GGA-PBE calculation of an optimized crystal structure of Nd4YTm2, from the Alexandria database.

## Properties
mass density	7.08	g cm⁻³
SG	No. 43
formation energy from the elements	0.057	eV/atom

```
14
Lattice="-8.8057 -2.5614 8.6052 3.2546 2.3334 -11.9212 3.5717 -5.7483 0.7278" Properties=species:S:1:pos:R:3 pbc="T T T"
Tm -7.5881 -2.4048 6.7338
Tm 2.7519 -4.7915 -4.0967
Tm -2.8650 -3.4722 2.0597
Tm 4.0586 -1.2768 -9.6854
Nd -0.8044 -0.8925 0.8735
Nd -4.9775 -3.8706 4.9073
Nd 2.0687 -0.8597 -6.7258
Nd 4.1459 -3.7668 -7.2172
Nd -2.6293 -6.3654 4.6735
Nd -2.5085 -0.8422 -2.2175
Nd 2.2881 -3.2364 -0.9864
Nd -1.1775 -3.9010 -1.0793
Y 0.2542 -2.3894 -4.0184
Y -4.5472 -0.7391 0.7500
```

Entry 3:
The following is a GGA-PBE calculation of an optimized crystal structure of Nd3Y3Tm8, from the Alexandria database.

## Properties
mass density	7.52	g cm⁻³
SG	No. 71
formation energy from the elements	0.114	eV/atom

```
14
Lattice="-4.8127 2.8799 -0.0014 -4.0458 -1.3013 -8.6448 -6.1166 -4.7552 5.7245" Properties=species:S:1:pos:R:3 pbc="T T T"
Tm -6.1681 0.6137 -4.1762
Tm -4.0308 -1.2752 -2.4809
Tm -7.0860 -0.9173 2.1931
Tm -10.9442 -1.9015 -0.4409
Tm -8.8070 -3.7903 1.2545
Tm -10.5184 -1.1913 -3.3957
Tm -4.4567 -1.9854 0.4739
Tm -7.8890 -2.2594 -5.1148
Y -9.0801 -4.2499 -2.3301
Y -5.8950 1.0732 -0.5916
Y -7.4875 -1.5883 -1.4609
Nd -2.4063 1.4399 -0.0007
Nd -4.4299 -1.9421 -5.9792
Nd -5.7325 -4.1145 3.0589
```

Entry 4:
The following is a GGA-PBE calculation of an optimized crystal structure of NdY7Tm2, from the Alexandria database.

## Properties
mass density	4.62	g cm⁻³
SG	No. 65
formation energy from the elements	0.692	eV/atom

```
10
Lattice="-2.2980 5.1070 0.9865 -3.4373 -3.0523 7.7943 8.2171 3.7708 -0.3798" Properties=species:S:1:pos:R:3 pbc="T T T"
Y -1.6751 1.8752 2.7790
Y 1.0789 3.4876 0.8473
Y 1.2409 2.9127 4.2005
Y 5.5786 2.2261 1.4708
Y -0.7988 -1.5076 5.9437
Y 4.1570 3.9503 5.6221
Y 1.4029 2.3379 7.5538
Tm 3.6109 4.3003 2.5383
Tm -1.1291 1.5252 5.8628
Nd 0.0000 0.0000 0.0000
```

Entry 5:
The following is a GGA-PBE calculation of an optimized crystal structure of NdY14Tm, from the Alexandria database.

## Properties
mass density	5.02	g cm⁻³
SG	No. 123
formation energy from the elements	0.022	eV/atom

```
16
Lattice="7.0857 0.9506 0.0000 -0.9507 7.0857 0.0000 0.0000 0.0000 10.0761" Properties=species:S:1:pos:R:3 pbc="T T T"
Y 3.5905 6.7860 2.5168
Y 2.0628 4.7851 5.0381
Y 6.0807 1.7179 5.0381
Y 0.5354 2.7841 7.5594
Y 5.6054 5.2592 0.0000
Y 2.5393 1.2429 0.0000
Y 3.5905 6.7860 7.5594
Y 4.0635 3.2578 2.5171
Y 0.0624 6.3123 2.5160
Y 2.5375 1.2419 5.0381
Y 0.5354 2.7841 2.5168
Y 4.0635 3.2578 7.5590
Y 5.6059 5.2612 5.0381
Y 0.0624 6.3123 7.5601
Nd 6.0821 1.7168 0.0000
Tm 2.0628 4.7851 0.0000
```

Entry 6:
The following is a GGA-PBE calculation of an optimized crystal structure of NdYTm, from the Alexandria database.

## Properties
mass density	6.54	g cm⁻³
SG	No. 129
formation energy from the elements	0.208	eV/atom

```
6
Lattice="-3.3061 3.1684 -1.6026 0.6568 -1.6062 -4.5306 -6.2375 -5.9069 1.1898" Properties=species:S:1:pos:R:3 pbc="T T T"
Nd -4.0378 -4.9378 -1.4324
Nd -3.5244 -0.1880 -0.4443
Y -1.5431 -2.5754 -1.9083
Y -6.0191 -2.5504 0.0316
Tm 0.0000 0.0000 0.0000
Tm -1.3246 0.7811 -3.0666
```

Entry 7:
The following is a GGA-PBE calculation of an optimized crystal structure of Nd9Y2Tm, from the Alexandria database.

## Properties
mass density	6.64	g cm⁻³
SG	No. 123
formation energy from the elements	0.014	eV/atom

```
12
Lattice="-1.2471 -0.6623 -4.9587 -0.7708 -5.0240 0.8649 -14.8329 2.8523 3.3493" Properties=species:S:1:pos:R:3 pbc="T T T"
Nd -1.0089 -2.8432 -2.0469
Nd -7.8018 -1.0858 2.1071
Nd -10.9098 -0.9393 0.1887
Nd -2.8369 -2.0406 0.9860
Nd -5.9410 -1.8947 -0.9333
Nd -12.7667 -0.1311 3.2282
Nd -13.0049 2.0497 0.3164
Nd -8.0400 1.0950 -0.8047
Nd -3.0751 0.1403 -1.9258
Y -9.8992 1.9036 2.2353
Y -4.9337 0.9487 1.1140
Tm 0.0000 0.0000 0.0000
```

Entry 8:
The following is a GGA-PBE calculation of an optimized crystal structure of Nd3Y4Tm4, from the Alexandria database.

## Properties
mass density	6.68	g cm⁻³
SG	No. 38
formation energy from the elements	0.161	eV/atom

```
11
Lattice="-1.7693 -4.3979 -3.1713 6.1032 2.2712 -1.4260 4.1492 -6.7370 7.0280" Properties=species:S:1:pos:R:3 pbc="T T T"
Tm 4.0015 -4.6952 4.2787
Tm 2.3486 -2.0114 1.4791
Tm -0.3205 -2.1912 -1.9112
Tm 2.3757 -5.5511 1.2440
Y 2.5935 -3.5909 -1.5958
Y 3.9203 -2.1325 -4.3587
Y 4.9839 -7.4722 2.4530
Y 5.2275 -5.5116 -0.4018
Nd 5.4746 -1.8844 -0.4411
Nd 7.2297 -4.7342 2.5319
Nd 2.6618 0.0368 -1.5361
```

Entry 9:
The following is a GGA-PBE calculation of an optimized crystal structure of Nd4Y2Tm5, from the Alexandria database.

## Properties
mass density	7.43	g cm⁻³
SG	No. 12
formation energy from the elements	0.099	eV/atom

```
11
Lattice="-4.4980 -0.4143 3.4076 -2.8683 -4.0969 -4.2842 6.3851 -7.1435 2.8621" Properties=species:S:1:pos:R:3 pbc="T T T"
Nd -0.6383 -1.4801 -1.0225
Nd -0.3429 -10.1746 3.0080
Nd -0.1295 -8.2871 -1.1785
Nd -0.8517 -3.3676 3.1639
Tm 0.4865 -6.0958 4.5986
Tm -1.4676 -5.5588 -2.6132
Tm 0.5775 -4.7217 0.1881
Tm -2.2490 -0.2072 1.7038
Tm -1.5586 -6.9329 1.7973
Y 2.0410 -7.7162 1.7560
Y -3.0222 -3.9385 0.2295
```

Entry 10:
The following is a GGA-PBE calculation of an optimized crystal structure of NdY4Tm4, from the Alexandria database.

## Properties
mass density	6.87	g cm⁻³
SG	No. 2
formation energy from the elements	-0.001	eV/atom

```
18
Lattice="-8.7234 -1.2405 -0.2992 8.2608 -1.9499 5.5793 0.2383 5.9397 10.8556" Properties=species:S:1:pos:R:3 pbc="T T T"
Y -0.0396 1.4139 6.2776
Y -0.2747 -1.6399 4.4224
Y -2.8870 2.6892 8.0066
Y 2.6627 0.0601 8.1291
Y -3.1179 -0.3711 6.1397
Y -0.1847 1.3355 9.8581
Y 0.0505 4.3893 11.7133
Y 2.8936 3.1205 9.9960
Tm 5.6045 3.7711 15.4509
Tm 5.4972 0.7961 10.0261
Tm -5.7214 1.9533 6.1095
Tm 2.7815 3.0638 13.5570
Tm 2.7734 0.1340 4.5438
Tm -3.0058 -0.3145 2.5786
Tm -5.8287 -1.0217 0.6847
Tm -2.9977 2.6154 11.5919
Nd 0.0512 1.4698 2.7207
Nd -0.2754 1.2796 13.4149
```

Entry 11:
The following is a GGA-PBE calculation of an optimized crystal structure of Nd3Y4Tm, from the Alexandria database.

## Properties
mass density	5.91	g cm⁻³
SG	No. 71
formation energy from the elements	0.129	eV/atom

```
8
Lattice="-3.3251 -0.2797 -1.0561 -0.5631 -10.7754 4.6270 -0.0733 8.0711 3.8924" Properties=species:S:1:pos:R:3 pbc="T T T"
Nd -0.2816 -5.3877 2.3135
Nd -2.9812 -4.2200 4.7043
Nd -0.9803 1.2360 2.7590
Y -1.3329 4.6068 2.9763
Y -2.6286 -7.5908 4.4870
Y -2.3418 -2.0999 2.1297
Y -1.6197 -0.8842 5.3336
Tm -1.6625 -0.1399 -0.5281
```

Entry 12:
The following is a GGA-PBE calculation of an optimized crystal structure of Nd6Y5Tm2, from the Alexandria database.

## Properties
mass density	6.21	g cm⁻³
SG	No. 55
formation energy from the elements	0.101	eV/atom

```
26
Lattice="-1.0212 -3.4862 0.1351 10.9523 -3.1045 2.6747 -4.3408 2.0528 20.1574" Properties=species:S:1:pos:R:3 pbc="T T T"
Nd 0.3497 -0.0332 1.7860
Nd -1.4184 -0.9616 13.3695
Nd -0.6714 0.4920 7.6191
Nd 5.8189 -1.5399 4.2467
Nd 7.2829 -1.5437 15.2130
Nd 0.7926 0.4881 18.5854
Nd 3.0800 -2.0516 19.2470
Nd 6.2618 -1.0186 21.0461
Nd 4.3513 -0.8882 9.9708
Nd 2.2602 -0.1636 12.8613
Nd 2.5103 -2.4864 3.7202
Nd 7.0087 -3.5763 9.5977
Y 0.8891 -1.7754 9.8133
Y 4.9655 -3.2954 1.4049
Y -2.4523 -0.4171 19.6060
Y 6.0698 -2.9725 18.0812
Y 8.0426 -4.1209 3.3612
Y -2.6810 -0.7167 10.1463
Y 0.7956 -1.5158 15.8062
Y -0.4795 -1.5655 4.8860
Y 4.7947 -3.0222 7.1610
Y 4.7012 -2.7626 13.1540
Tm 4.2055 -0.6086 16.0818
Tm -1.6219 1.1097 16.3754
Tm 2.4060 -0.4432 6.7503
Tm 8.2334 -2.1615 6.4567
```

Entry 13:
The following is a GGA-PBE calculation of an optimized crystal structure of Nd8Y3Tm3, from the Alexandria database.

## Properties
mass density	6.78	g cm⁻³
SG	No. 71
formation energy from the elements	0.112	eV/atom

```
14
Lattice="-2.7526 -3.3766 -3.6414 5.6741 -7.8307 -1.4545 -7.5441 -3.8745 4.8690" Properties=species:S:1:pos:R:3 pbc="T T T"
Nd 0.5398 -7.1299 -2.6497
Nd -2.1665 -10.9952 -1.4465
Nd -4.9218 -10.1705 -0.1283
Nd 0.2993 -4.9113 -0.0987
Nd 0.8165 -9.7413 -0.4374
Nd -5.4391 -5.3405 0.2105
Nd -2.4561 -4.0866 1.2195
Nd -5.1623 -7.9518 2.4228
Tm 3.2747 -7.1125 -0.3067
Tm -1.3763 -1.6883 -1.8207
Tm -5.1446 -4.5926 3.7211
Y -2.3113 -7.5409 -0.1135
Y -2.0414 -10.0873 2.0438
Y -2.5812 -4.9945 -2.2707
```

Entry 14:
The following is a GGA-PBE calculation of an optimized crystal structure of Nd3YTm2, from the Alexandria database.

## Properties
mass density	6.72	g cm⁻³
SG	No. 63
formation energy from the elements	0.284	eV/atom

```
12
Lattice="5.6610 0.0000 0.0000 0.0000 8.4133 -3.2453 0.0000 -0.2587 9.0138" Properties=species:S:1:pos:R:3 pbc="T T T"
Nd 5.6214 0.7065 0.4998
Nd 5.6213 7.3812 0.5117
Nd 2.7909 7.4481 5.2687
Nd 5.6213 2.9403 6.7896
Nd 2.7908 5.2143 -1.0211
Nd 2.7908 0.7734 5.2568
Tm 5.6213 2.3658 3.6144
Tm 2.7909 3.9587 4.7412
Tm 2.7909 5.7888 2.1541
Tm 5.6213 4.1959 1.0273
Y 2.7909 2.2344 1.5806
Y 5.6214 5.9202 4.1879
```

Entry 15:
The following is a GGA-PBE calculation of an optimized crystal structure of Nd3Y5Tm4, from the Alexandria database.

## Properties
mass density	6.68	g cm⁻³
SG	No. 2
formation energy from the elements	0.023	eV/atom

```
12
Lattice="-4.2946 -5.4583 -1.6598 10.9710 -0.0958 2.6589 -12.4188 -0.5548 3.3159" Properties=species:S:1:pos:R:3 pbc="T T T"
Nd -0.9204 -2.7059 3.7304
Nd -6.2094 -0.2774 1.6579
Nd -4.8220 -3.4031 0.5846
Y -8.0140 -1.9750 4.2190
Y -4.4599 -2.3508 3.9836
Y -8.3567 -3.0066 0.8280
Y -1.2825 -3.7581 0.3314
Y 2.2716 -4.1340 0.0960
Tm -3.0873 -5.4635 2.9095
Tm -6.6046 -5.0861 3.1607
Tm -2.6551 -0.6455 1.4055
Tm 0.8622 -1.0229 1.1543
```

Entry 16:
The following is a GGA-PBE calculation of an optimized crystal structure of Nd3Y4Tm, from the Alexandria database.

## Properties
mass density	6.02	g cm⁻³
SG	No. 31
formation energy from the elements	0.002	eV/atom

```
16
Lattice="7.2425 0.0000 0.0000 0.0000 6.2596 0.0000 0.0000 0.0000 11.6538" Properties=species:S:1:pos:R:3 pbc="T T T"
Nd 4.9943 3.1267 8.7315
Nd 4.9966 5.2136 0.0000
Nd 1.3754 1.0460 5.8269
Nd 1.3730 3.1329 2.9046
Nd 4.9943 3.1267 2.9223
Nd 1.3730 3.1329 8.7492
Y 6.8023 0.0077 2.9055
Y 3.1810 6.2519 2.9213
Y 6.7973 4.1768 5.8269
Y 3.1760 2.0828 0.0000
Y 4.9868 1.0539 5.8269
Y 1.3655 5.2057 0.0000
Y 6.8023 0.0077 8.7482
Y 3.1810 6.2519 8.7324
Tm 6.8130 2.0884 0.0000
Tm 3.1918 4.1712 5.8269
```

Entry 17:
The following is a GGA-PBE calculation of an optimized crystal structure of Nd5YTm2, from the Alexandria database.

## Properties
mass density	6.89	g cm⁻³
SG	No. 15
formation energy from the elements	0.229	eV/atom

```
16
Lattice="-9.4125 -0.9997 -4.0569 4.7934 -8.2054 -3.9684 -5.1411 -10.1618 -2.1274" Properties=species:S:1:pos:R:3 pbc="T T T"
Nd -2.5516 -11.9905 -5.2474
Nd 3.0008 -8.0765 -4.1072
Nd -10.8189 -7.4514 -5.2410
Nd -7.2086 -7.3764 -4.9053
Nd -6.8702 -11.8664 -5.6126
Nd -2.8901 -7.5005 -4.5401
Nd 1.0586 -11.9154 -4.9117
Nd -12.7611 -11.2904 -6.0455
Nd -5.5447 -4.0876 -4.2184
Nd -4.2155 -15.2793 -5.9343
Tm -0.1739 -9.1836 -3.0479
Tm -4.7063 -0.4999 -2.0284
Tm -2.3096 -4.6026 -4.0126
Tm -4.8802 -9.6834 -5.0764
Y -9.3672 -4.2151 -4.5804
Y -0.3931 -15.1518 -5.5723
```

Entry 18:
The following is a GGA-PBE calculation of an optimized crystal structure of Nd9YTm2, from the Alexandria database.

## Properties
mass density	7.00	g cm⁻³
SG	No. 123
formation energy from the elements	0.014	eV/atom

```
12
Lattice="-0.9603 -3.8029 3.3329 0.3477 -3.4341 -3.8182 15.1360 -1.4619 2.6931" Properties=species:S:1:pos:R:3 pbc="T T T"
Nd 2.7179 -1.9628 -1.4564
Nd 7.7418 -2.4480 -0.5626
Nd -0.3063 -3.6185 -0.2426
Nd 4.7531 -4.1072 0.6576
Nd 2.0639 -2.1472 2.1191
Nd 7.0878 -2.6324 3.0130
Nd 9.7702 -4.5917 1.5503
Nd 12.1117 -3.1176 3.9069
Nd 12.7657 -2.9332 0.3313
Tm 5.0541 -0.4881 0.8993
Tm 10.0819 -0.9737 1.7938
Y 0.0000 0.0000 0.0000
```

Entry 19:
The following is a GGA-PBE calculation of an optimized crystal structure of Nd3Y2Tm4, from the Alexandria database.

## Properties
mass density	7.05	g cm⁻³
SG	No. 12
formation energy from the elements	0.205	eV/atom

```
9
Lattice="-0.4391 4.7664 1.8370 -3.0132 0.4937 5.1536 7.3844 -0.0476 9.0435" Properties=species:S:1:pos:R:3 pbc="T T T"
Tm 2.2792 1.1453 11.8825
Tm -0.3888 1.4993 3.1716
Tm 1.6529 4.0671 4.1516
Tm 4.3209 3.7132 12.8624
Nd 4.3076 2.2568 9.4834
Nd -0.3755 2.9557 6.5506
Nd 0.0000 0.0000 0.0000
Y 2.2862 0.8924 5.3858
Y 1.6460 4.3201 10.6483
```

no.,calculated volume (Å³ per cell)
1,604.5
2,470.9
3,452.7
4,397.3
5,515.0
6,204.1
7,411.3
8,363.7
9,357.3
10,568.5
11,268.8
12,880.9
13,471.9
14,424.5
15,385.9
16,528.3
17,553.4
18,409.1
19,302.8